Entry 1:
# Hf3As

A relaxed Hf3As crystal (GGA-PBE, Alexandria via LeMat-Bulk).

Computed properties:
- ΔH_f (0 K): -62.22 kJ/mol of atoms
- SG: I-4 (82)
- Total magnetic moment: 0.000 μB/atom
- Calculated volume: 20.2 A^3/atom
- Crystal system: tetragonal
- DFT total energy: -9.272 eV/atom
- Calculated density: 12.57 g/cm³

a b c (Å): 5.400 8.185 8.185
angles (deg): 83.75 70.74 70.74
Fractional positions:
Hf 0.805 0.809 0.024
As 0.677 0.332 0.255
As 0.068 0.255 0.668
Hf 0.114 0.386 0.333
As 0.264 0.668 0.745
Hf 0.553 0.333 0.614
Hf 0.968 0.966 0.603
Hf 0.537 0.034 0.397
Hf 0.065 0.397 0.966
As 0.991 0.745 0.332
Hf 0.834 0.614 0.667
Hf 0.171 0.024 0.191
Hf 0.500 0.667 0.386
Hf 0.429 0.603 0.034
Hf 0.638 0.191 0.976
Hf 0.385 0.976 0.809

---

Entry 2:
# PrScTcO6

A relaxed PrScTcO6 crystal (GGA-PBE, Alexandria via LeMat-Bulk).

Computed properties:
- SG: P312 (149)
- Total magnetic moment: 0.112 μB/atom
- Calculated volume: 13.9 A^3/atom
- Crystal system: trigonal
- DFT total energy: -8.178 eV/atom
- Calculated density: 5.03 g/cm³
- Formation energy (no corrections): -2.49 eV per atom

a b c (Å): 5.320 5.320 5.112
angles (deg): 90.00 90.00 60.00
Last column: magnetic moment on the atom in μB.
Fractional positions:
O 0.024 0.351 0.286  0.01
Tc 0.333 0.333 0.500  0.79
Sc 0.667 0.667 0.500  0.02
O 0.351 0.024 0.714  0.01
O 0.626 0.351 0.714  0.01
O 0.626 0.024 0.286  0.01
O 0.351 0.626 0.286  0.01
Pr 0.000 0.000 0.000  0.03
O 0.024 0.626 0.714  0.01

---

Entry 3:
# ScTlPd3

A relaxed ScTlPd3 crystal (GGA-PBE, Alexandria via LeMat-Bulk).

Computed properties:
- Energy relative to the lowest polymorph listed for this composition: 0 meV/atom
- ΔH_f (0 K): -54.00 kJ/mol of atoms
- SG: P2_1/m (11)
- Total magnetic moment: 0.000 μB/atom
- Calculated volume: 17.8 A^3/atom
- Crystal system: monoclinic
- DFT total energy: -5.415 eV/atom
- Calculated density: 10.58 g/cm³

a b c (Å): 4.662 5.299 7.674
angles (deg): 109.70 90.00 90.00
Fractional positions:
Tl 0.250 0.819 0.389
Pd 0.750 0.341 0.000
Pd 0.250 0.481 0.609
Pd 0.750 0.942 0.206
Tl 0.750 0.181 0.611
Sc 0.750 0.773 0.831
Pd 0.250 0.058 0.794
Pd 0.250 0.659 0.000
Sc 0.250 0.227 0.169
Pd 0.750 0.519 0.391

---

Entry 4:
# Na2TbUO6

A relaxed Na2TbUO6 crystal (GGA-PBE, Alexandria via LeMat-Bulk).

Computed properties:
- SG: P2_1/c (14)
- Total magnetic moment: 0.095 μB/atom
- Calculated volume: 14.4 A^3/atom
- Crystal system: monoclinic
- DFT total energy: -7.457 eV/atom
- Calculated density: 6.20 g/cm³
- Formation energy (no corrections): -2.63 eV per atom

a b c (Å): 5.817 5.961 8.330
angles (deg): 90.00 89.94 90.00
Last column: magnetic moment on the atom in μB.
Fractional positions:
O 0.683 0.287 0.555  0.13
O 0.183 0.213 0.055  0.13
O 0.100 0.459 0.763  0.13
O 0.400 0.959 0.737  0.13
O 0.317 0.713 0.445  0.13
O 0.789 0.812 0.550  0.12
Na 0.007 0.963 0.251  0.00
O 0.289 0.688 0.050  0.12
O 0.211 0.188 0.450  0.12
Na 0.993 0.037 0.749  0.00
Tb 0.500 0.000 0.000  0.02
Tb 0.000 0.500 0.500  0.02
Na 0.507 0.537 0.751  0.00
U 0.500 0.000 0.500  0.05
U 0.000 0.500 0.000  0.05
O 0.711 0.312 0.950  0.12
O 0.600 0.041 0.263  0.13
O 0.900 0.541 0.237  0.13
O 0.817 0.787 0.945  0.13
Na 0.493 0.463 0.249  0.00

---

Entry 5:
# RbScTe3

A relaxed RbScTe3 crystal (GGA-PBE, Alexandria via LeMat-Bulk).

Computed properties:
- Energy relative to the lowest polymorph listed for this composition: 1645 meV/atom
- SG: Pm-3m (221)
- Total magnetic moment: 0.000 μB/atom
- Calculated volume: 42.4 A^3/atom
- Crystal system: cubic
- DFT total energy: -2.488 eV/atom
- Calculated density: 4.02 g/cm³
- Formation energy (no corrections): 0.86 eV per atom

a b c (Å): 5.965 5.965 5.965
angles (deg): 90.00 90.00 90.00
Fractional positions:
Sc 0.500 0.500 0.500
Te 0.000 0.000 0.500
Te 0.000 0.500 0.000
Rb 0.000 0.000 0.000
Te 0.500 0.000 0.000

---

Entry 6:
# Pm12Nd2Y5

A relaxed Pm12Nd2Y5 crystal (GGA-PBE, Alexandria via LeMat-Bulk).

Computed properties:
- Energy relative to the lowest polymorph listed for this composition: 0 meV/atom
- ΔH_f (0 K): 9.12 kJ/mol of atoms
- SG: C2/m (12)
- Total magnetic moment: 0.000 μB/atom
- Calculated volume: 34.1 A^3/atom
- Crystal system: monoclinic
- DFT total energy: -5.109 eV/atom
- Calculated density: 6.34 g/cm³

a b c (Å): 11.783 10.755 6.255
angles (deg): 100.46 90.00 123.21
Fractional positions:
Y 0.215 0.430 0.549
Pm 0.146 0.792 0.385
Nd 0.227 0.000 0.000
Pm 0.646 0.792 0.385
Pm 0.456 0.397 0.200
Pm 0.854 0.208 0.615
Y 0.676 0.352 0.860
Pm 0.544 0.603 0.800
Pm 0.445 0.889 0.725
Pm 0.555 0.111 0.275
Pm 0.877 0.754 0.003
Pm 0.354 0.208 0.615
Y 0.785 0.570 0.451
Nd 0.773 0.000 0.000
Y 0.324 0.648 0.140
Pm 0.123 0.246 0.997
Pm 0.059 0.603 0.800
Pm 0.941 0.397 0.200
Y 0.000 0.000 0.500

---

Entry 7:
# MnNbSiTc

A relaxed MnNbSiTc crystal (GGA-PBE, Alexandria via LeMat-Bulk).

Computed properties:
- SG: F-43m (216)
- Total magnetic moment: 0.247 μB/atom
- Calculated volume: 13.9 A^3/atom
- Crystal system: cubic
- DFT total energy: -9.112 eV/atom
- Calculated density: 8.20 g/cm³
- Formation energy (no corrections): -0.36 eV per atom

a b c (Å): 4.282 4.282 4.282
angles (deg): 60.00 60.00 60.00
Last column: magnetic moment on the atom in μB.
Fractional positions:
Si 0.750 0.750 0.750  -0.02
Tc 0.000 0.000 0.000  0.23
Mn 0.500 0.500 0.500  0.93
Nb 0.250 0.250 0.250  -0.18

---

Entry 8:
# Pm4TlHgSe2

A relaxed Pm4TlHgSe2 crystal (GGA-PBE, Alexandria via LeMat-Bulk).

Computed properties:
- SG: P2/m (10)
- Total magnetic moment: 0.000 μB/atom
- Calculated volume: 28.8 A^3/atom
- Crystal system: monoclinic
- DFT total energy: -4.689 eV/atom
- Calculated density: 8.24 g/cm³
- Formation energy (no corrections): -1.11 eV per atom

a b c (Å): 4.131 7.173 8.131
angles (deg): 107.07 90.00 90.00
Fractional positions:
Tl 0.500 0.500 0.000
Pm 0.500 0.256 0.274
Hg 0.000 0.000 0.000
Se 0.500 0.000 0.500
Pm 0.000 0.241 0.725
Pm 0.000 0.759 0.275
Se 0.000 0.500 0.500
Pm 0.500 0.744 0.726

---

Entry 9:
# Ca2MgCd3In4

A relaxed Ca2MgCd3In4 crystal (GGA-PBE, Alexandria via LeMat-Bulk).

Computed properties:
- ΔH_f (0 K): -21.62 kJ/mol of atoms
- SG: P-4m2 (115)
- Total magnetic moment: 0.000 μB/atom
- Calculated volume: 26.6 A^3/atom
- Crystal system: tetragonal
- DFT total energy: -2.154 eV/atom
- Calculated density: 5.62 g/cm³

a b c (Å): 4.478 4.478 13.288
angles (deg): 90.00 90.00 90.00
Fractional positions:
In 0.000 0.000 0.000
Ca 0.500 0.000 0.244
Ca 0.000 0.500 0.756
Cd 0.000 0.000 0.500
In 0.500 0.500 0.000
In 0.000 0.500 0.356
In 0.500 0.000 0.644
Mg 0.500 0.500 0.500
Cd 0.500 0.000 0.854
Cd 0.000 0.500 0.146

---

Entry 10:
# SbAuCl2

A relaxed SbAuCl2 crystal (GGA-PBE, Alexandria via LeMat-Bulk).

Computed properties:
- Energy relative to the lowest polymorph listed for this composition: 661 meV/atom
- SG: P4/mmm (123)
- Total magnetic moment: 0.000 μB/atom
- Calculated volume: 22.2 A^3/atom
- Crystal system: tetragonal
- DFT total energy: -2.558 eV/atom
- Calculated density: 7.29 g/cm³
- Formation energy (no corrections): 0.22 eV per atom

a b c (Å): 4.440 4.470 4.470
angles (deg): 90.00 90.00 90.00
Fractional positions:
Sb 0.500 0.500 0.000
Cl 0.000 0.500 0.500
Cl 0.000 0.000 0.000
Au 0.500 0.000 0.500

---

Entry 11:
# CaNiW2

A relaxed CaNiW2 crystal (GGA-PBE, Alexandria via LeMat-Bulk).

Computed properties:
- Energy relative to the lowest polymorph listed for this composition: 35 meV/atom
- ΔH_f (0 K): 45.57 kJ/mol of atoms
- SG: P4mm (99)
- Total magnetic moment: 0.000 μB/atom
- Calculated volume: 17.0 A^3/atom
- Crystal system: tetragonal
- DFT total energy: -7.950 eV/atom
- Calculated density: 11.38 g/cm³

a b c (Å): 2.768 2.768 8.879
angles (deg): 90.00 90.00 90.00
Fractional positions:
W 0.500 0.500 0.224
Ni 0.500 0.500 0.782
Ca 0.000 0.000 0.525
W 0.000 0.000 0.969

---

Entry 12:
# BaDyTeO6

A relaxed BaDyTeO6 crystal (GGA-PBE, Alexandria via LeMat-Bulk).

Computed properties:
- SG: P312 (149)
- Total magnetic moment: 0.120 μB/atom
- Calculated volume: 17.7 A^3/atom
- Crystal system: trigonal
- DFT total energy: -6.450 eV/atom
- Calculated density: 5.46 g/cm³
- Formation energy (no corrections): -2.07 eV per atom

a b c (Å): 5.727 5.727 5.602
angles (deg): 90.00 90.00 60.00
Last column: magnetic moment on the atom in μB.
Fractional positions:
O 0.601 0.358 0.698  0.15
Dy 0.667 0.667 0.500  0.01
O 0.041 0.358 0.302  0.15
O 0.358 0.601 0.302  0.15
Te 0.333 0.333 0.500  -0.02
O 0.041 0.601 0.698  0.15
Ba 0.000 0.000 0.000  0.00
O 0.601 0.041 0.302  0.15
O 0.358 0.041 0.698  0.15